Entry from Alexandria: a relaxed structure of TbErTm2Te6 (PBE). Values from VASP.

Cell and atoms, written as Quantum ESPRESSO input:
```
&SYSTEM
  ibrav = 0, nat = 10, ntyp = 4
/
ATOMIC_SPECIES
Tb 158.93 Tb.upf
Er 167.26 Er.upf
Tm 168.93 Tm.upf
Te 127.60 Te.upf
CELL_PARAMETERS angstrom
3.8193 2.2051 6.9761
-3.8193 2.2051 6.9761
0.0000 -4.4101 6.9761
ATOMIC_POSITIONS angstrom
Tb 0.0000 0.0000 0.0000
Er 0.0000 0.0000 10.4496
Tm 0.0000 0.0000 6.5797
Tm 0.0000 0.0000 17.0551
Te -2.3912 -0.0444 8.5053
Te -1.4051 -2.2284 11.9792
Te 1.2340 -2.0486 8.5053
Te -1.2273 2.3310 11.9792
Te 1.1572 2.0930 8.5053
Te 2.6324 -0.1026 11.9792
```

Calculated values
**Crystal system**: trigonal
**ρ**: 6735 kg/m³
**Spin magnetization**: 0.0000 μB/atom
**E_form (uncorrected)**: -1343 meV per atom